Material: Pm5Sm2Sb5
Method: DFT, PBE
State: relaxed

Lattice parameters (Å, degrees): 7.5953 7.5953 12.9470 107.58 107.58 33.95
Atoms (fractional coordinates):
Pm 0.0000 0.0000 0.0000
Pm 0.1593 0.1593 0.5405
Pm 0.2275 0.2275 0.8464
Pm 0.7725 0.7725 0.1536
Pm 0.8407 0.8407 0.4595
Sm 0.4601 0.4601 0.7159
Sm 0.5399 0.5399 0.2841
Sb 0.1933 0.1933 0.2949
Sb 0.3797 0.3797 0.0690
Sb 0.5000 0.5000 0.5000
Sb 0.6203 0.6203 0.9310
Sb 0.8067 0.8067 0.7051

uncorrected formation energy: -87.68 kJ per mole of atoms
final energy: -5.392 eV/atom
space group: C2/m (12)

***

Material: Pm2SmSb
Method: DFT, PBE
State: relaxed

Lattice parameters (Å, degrees): 4.1710 12.2755 10.0394 90.00 90.00 90.00
Atoms (fractional coordinates):
Pm 0.0000 0.1380 0.0423
Pm 0.0000 0.1380 0.4577
Pm 0.0000 0.8620 0.5423
Pm 0.0000 0.8620 0.9577
Pm 0.5000 0.3620 0.5423
Pm 0.5000 0.3620 0.9577
Pm 0.5000 0.6380 0.0423
Pm 0.5000 0.6380 0.4577
Sm 0.0000 0.4392 0.2500
Sm 0.0000 0.5608 0.7500
Sm 0.5000 0.0608 0.7500
Sm 0.5000 0.9392 0.2500
Sb 0.0000 0.2619 0.7500
Sb 0.0000 0.7381 0.2500
Sb 0.5000 0.2381 0.2500
Sb 0.5000 0.7619 0.7500

uncorrected formation energy: -54.77 kJ per mole of atoms
energy above the lowest structure with this stoichiometry: 0.000 eV per atom
final energy: -5.153 eV/atom
space group: Cmcm (63)

***

Material: PmSm5Sb4
Method: DFT, PBE
State: relaxed

Lattice parameters (Å, degrees): 9.7920 9.7920 8.6444 105.15 105.15 25.94
Atoms (fractional coordinates):
Pm 0.0000 0.0000 0.0000
Sm 0.0000 0.0000 0.5000
Sm 0.3250 0.3250 0.6518
Sm 0.3371 0.3371 0.1701
Sm 0.6629 0.6629 0.8299
Sm 0.6750 0.6750 0.3482
Sb 0.1702 0.1702 0.0909
Sb 0.4930 0.4930 0.7424
Sb 0.5070 0.5070 0.2576
Sb 0.8298 0.8298 0.9091

uncorrected formation energy: -75.29 kJ per mole of atoms
final energy: -5.264 eV/atom
space group: C2/m (12)

***

Material: Pm5Sm3Sb8
Method: DFT, PBE
State: relaxed

Lattice parameters (Å, degrees): 8.9702 8.9702 8.9702 60.00 60.00 60.00
Atoms (fractional coordinates):
Pm 0.0000 0.0000 0.0000
Pm 0.0000 0.5000 0.5000
Pm 0.5000 0.0000 0.5000
Pm 0.5000 0.5000 0.0000
Pm 0.5000 0.5000 0.5000
Sm 0.0000 0.0000 0.5000
Sm 0.0000 0.5000 0.0000
Sm 0.5000 0.0000 0.0000
Sb 0.2491 0.7500 0.7500
Sb 0.2496 0.2496 0.2496
Sb 0.2500 0.2500 0.7509
Sb 0.2500 0.7509 0.2500
Sb 0.7500 0.2491 0.7500
Sb 0.7500 0.7500 0.2491
Sb 0.7504 0.7504 0.7504
Sb 0.7509 0.2500 0.2500

uncorrected formation energy: -114.19 kJ per mole of atoms
final energy: -5.614 eV/atom
space group: R-3m (166)